A geometry-optimized AlAgPt2 structure, computed with PBE-GGA.

## Properties
ΔH_f (0 K): -0.3088 eV/atom
Fermi-level density of states: 1.0 states/eV/f.u.

Lattice parameters (Å, degrees): 9.0623 9.0623 9.0623 18.18 18.18 18.18
Atoms (fractional coordinates):
Al: 0.0000 0.0000 0.0000
Ag: 0.2509 0.2509 0.2509
Pt: 0.4950 0.4950 0.4950
Pt: 0.7386 0.7386 0.7386

---

A geometry-optimized Ca2LaHfGe structure, computed with PBE-GGA.

## Properties
ΔH_f (0 K): 0.5068 eV/atom
Fermi-level density of states: 6.3 states/eV/f.u.

Lattice parameters (Å, degrees): 5.6989 5.6989 5.2225 90.00 90.00 90.00
Atoms (fractional coordinates):
Ca: 0.0000 0.5000 0.0000
Ca: 0.5000 0.0000 0.0000
La: 0.0000 0.0000 0.5000
Hf: 0.5000 0.5000 0.0000
Ge: 0.5000 0.5000 0.5000

---

no.,size of the total moment (μB/atom)
1,0.00
2,0.00